(1)
Material: Pr3AgIr
Method: DFT, PBE
State: relaxed

Summary:
Crystal system = orthorhombic
M_tot = 0.000 μB per atom
Raw total energy = -112.3 eV per cell
Polymorph energy (0 for the lowest one) = 0.0000 eV per atom

abc: 7.6075 4.8047 15.7588
angles: 90.00 90.00 90.00
Fractional positions:
Pr 0.0126 0.2500 0.0994
Pr 0.1338 0.7500 0.4503
Pr 0.1827 0.2500 0.7194
Pr 0.3173 0.7500 0.2194
Pr 0.3662 0.2500 0.9503
Pr 0.4874 0.7500 0.5994
Pr 0.5126 0.2500 0.4006
Pr 0.6338 0.7500 0.0497
Pr 0.6827 0.2500 0.7806
Pr 0.8173 0.7500 0.2806
Pr 0.8662 0.2500 0.5497
Pr 0.9874 0.7500 0.9006
Ag 0.1047 0.2500 0.3105
Ag 0.3953 0.7500 0.8105
Ag 0.6047 0.2500 0.1895
Ag 0.8953 0.7500 0.6895
Ir 0.2316 0.7500 0.0440
Ir 0.2684 0.2500 0.5440
Ir 0.7316 0.7500 0.4560
Ir 0.7684 0.2500 0.9560

(2)
Material: Pr6AgIr2
Method: DFT, PBE
State: relaxed

Summary:
Crystal system = monoclinic
M_tot = 0.000 μB per atom
Raw total energy = -52.3 eV per cell

abc: 5.8292 5.8292 9.3628
angles: 98.67 98.67 53.10
Fractional positions:
Pr 0.0398 0.0398 0.3419
Pr 0.2864 0.2864 0.6647
Pr 0.3453 0.3453 0.1037
Pr 0.6547 0.6547 0.8963
Pr 0.7136 0.7136 0.3353
Pr 0.9602 0.9602 0.6581
Ag 0.0000 0.0000 0.0000
Ir 0.3823 0.3823 0.3986
Ir 0.6177 0.6177 0.6014

(3)
Material: Pr4AgIr
Method: DFT, PBE
State: relaxed

Summary:
Crystal system = monoclinic
M_tot = 0.000 μB per atom
Raw total energy = -65.3 eV per cell
Polymorph energy (0 for the lowest one) = 0.0718 eV per atom

abc: 8.2978 8.2978 6.2079
angles: 103.31 103.31 114.19
Fractional positions:
Pr 0.0673 0.7029 0.9249
Pr 0.2126 0.3550 0.6699
Pr 0.2971 0.9327 0.5751
Pr 0.3550 0.2126 0.1699
Pr 0.6450 0.7874 0.8301
Pr 0.7029 0.0673 0.4249
Pr 0.7874 0.6450 0.3301
Pr 0.9327 0.2971 0.0751
Ag 0.3781 0.6219 0.2500
Ag 0.6219 0.3781 0.7500
Ir 0.0012 0.9988 0.7500
Ir 0.9988 0.0012 0.2500

(4)
Material: Pr2AgIr
Method: DFT, PBE
State: relaxed

Summary:
Crystal system = monoclinic
M_tot = 0.000 μB per atom
Raw total energy = -46.4 eV per cell
Polymorph energy (0 for the lowest one) = 0.0000 eV per atom

abc: 6.0226 4.5758 8.0331
angles: 90.00 111.64 90.00
Fractional positions:
Pr 0.2109 0.2500 0.4410
Pr 0.2411 0.2500 0.9201
Pr 0.7589 0.7500 0.0799
Pr 0.7891 0.7500 0.5590
Ag 0.3251 0.7500 0.2108
Ag 0.6749 0.2500 0.7892
Ir 0.3337 0.7500 0.7107
Ir 0.6663 0.2500 0.2893

(5)
Material: Pr12Ag6Ir
Method: DFT, PBE
State: relaxed

Summary:
Crystal system = trigonal
M_tot = 0.000 μB per atom
Raw total energy = -85.6 eV per cell

abc: 8.4143 8.4143 8.4143
angles: 93.24 93.24 93.24
Fractional positions:
Pr 0.0413 0.6950 0.9366
Pr 0.0634 0.9587 0.3050
Pr 0.1790 0.5329 0.4058
Pr 0.3050 0.0634 0.9587
Pr 0.4058 0.1790 0.5329
Pr 0.4671 0.5942 0.8210
Pr 0.5329 0.4058 0.1790
Pr 0.5942 0.8210 0.4671
Pr 0.6950 0.9366 0.0413
Pr 0.8210 0.4671 0.5942
Pr 0.9366 0.0413 0.6950
Pr 0.9587 0.3050 0.0634
Ag 0.1610 0.3597 0.7616
Ag 0.2384 0.8390 0.6403
Ag 0.3597 0.7616 0.1610
Ag 0.6403 0.2384 0.8390
Ag 0.7616 0.1610 0.3597
Ag 0.8390 0.6403 0.2384
Ir 0.5000 0.5000 0.5000

(6)
Material: Pr6Ag2Ir
Method: DFT, PBE
State: relaxed

Summary:
Crystal system = monoclinic
M_tot = 0.000 μB per atom
Raw total energy = -90.5 eV per cell
Polymorph energy (0 for the lowest one) = 0.0000 eV per atom

abc: 6.8147 7.8370 12.6402
angles: 90.00 122.05 90.00
Fractional positions:
Pr 0.1003 0.1899 0.4397
Pr 0.1003 0.3101 0.9397
Pr 0.2733 0.6773 0.4434
Pr 0.2733 0.8227 0.9434
Pr 0.3839 0.0292 0.2473
Pr 0.3839 0.4708 0.7473
Pr 0.6161 0.5292 0.2527
Pr 0.6161 0.9708 0.7527
Pr 0.7267 0.1773 0.0566
Pr 0.7267 0.3227 0.5566
Pr 0.8997 0.6899 0.0603
Pr 0.8997 0.8101 0.5603
Ag 0.1744 0.1095 0.7419
Ag 0.1744 0.3905 0.2419
Ag 0.8256 0.6095 0.7581
Ag 0.8256 0.8905 0.2581
Ir 0.5000 0.0000 0.5000
Ir 0.5000 0.5000 0.0000

(7)
Material: Pr3Ag2Ir
Method: DFT, PBE
State: relaxed

Summary:
Crystal system = monoclinic
M_tot = 0.000 μB per atom
Raw total energy = -62.3 eV per cell

abc: 5.2000 7.5898 8.1892
angles: 90.00 108.38 90.00
Fractional positions:
Pr 0.0000 0.2374 0.0000
Pr 0.0000 0.7626 0.0000
Pr 0.3252 0.2282 0.6512
Pr 0.3252 0.7718 0.6512
Pr 0.6748 0.2282 0.3488
Pr 0.6748 0.7718 0.3488
Ag 0.1671 0.5000 0.3326
Ag 0.5000 0.0000 0.0000
Ag 0.5000 0.5000 0.0000
Ag 0.8329 0.5000 0.6674
Ir 0.1569 0.0000 0.3126
Ir 0.8431 0.0000 0.6874

(8)
Material: Pr5AgIr2
Method: DFT, PBE
State: relaxed

Summary:
Crystal system = orthorhombic
M_tot = 0.000 μB per atom
Raw total energy = -93.4 eV per cell
Polymorph energy (0 for the lowest one) = 0.1871 eV per atom

abc: 7.1159 7.1159 14.4094
angles: 90.00 90.00 131.09
Fractional positions:
Pr 0.0543 0.9457 0.6148
Pr 0.0543 0.9457 0.8852
Pr 0.2359 0.7641 0.2500
Pr 0.3426 0.6574 0.5501
Pr 0.3426 0.6574 0.9499
Pr 0.6574 0.3426 0.0501
Pr 0.6574 0.3426 0.4499
Pr 0.7641 0.2359 0.7500
Pr 0.9457 0.0543 0.1148
Pr 0.9457 0.0543 0.3852
Ag 0.2429 0.7571 0.7500
Ag 0.7571 0.2429 0.2500
Ir 0.1534 0.8466 0.0599
Ir 0.1534 0.8466 0.4401
Ir 0.8466 0.1534 0.5599
Ir 0.8466 0.1534 0.9401

(9)
Material: Pr2AgIr
Method: DFT, PBE
State: relaxed

Summary:
Crystal system = trigonal
M_tot = 0.000 μB per atom
Raw total energy = -68.6 eV per cell
Polymorph energy (0 for the lowest one) = 0.0795 eV per atom

abc: 4.2315 4.2315 22.2743
angles: 90.00 90.00 120.00
Fractional positions:
Pr 0.0000 0.0000 0.0000
Pr 0.0000 0.0000 0.1951
Pr 0.3333 0.6667 0.6667
Pr 0.3333 0.6667 0.8618
Pr 0.6667 0.3333 0.3333
Pr 0.6667 0.3333 0.5284
Ag 0.0000 0.0000 0.4326
Ag 0.3333 0.6667 0.0992
Ag 0.6667 0.3333 0.7659
Ir 0.0000 0.0000 0.5967
Ir 0.3333 0.6667 0.2633
Ir 0.6667 0.3333 0.9300

(10)
Material: Pr2AgIr
Method: DFT, PBE
State: relaxed

Summary:
Crystal system = cubic
M_tot = 0.000 μB per atom
Raw total energy = -91.6 eV per cell
Polymorph energy (0 for the lowest one) = 0.0736 eV per atom

abc: 7.3219 7.3219 7.3219
angles: 90.00 90.00 90.00
Fractional positions:
Pr 0.2500 0.2500 0.2500
Pr 0.2500 0.2500 0.7500
Pr 0.2500 0.7500 0.2500
Pr 0.2500 0.7500 0.7500
Pr 0.7500 0.2500 0.2500
Pr 0.7500 0.2500 0.7500
Pr 0.7500 0.7500 0.2500
Pr 0.7500 0.7500 0.7500
Ag 0.0000 0.0000 0.0000
Ag 0.0000 0.5000 0.5000
Ag 0.5000 0.0000 0.5000
Ag 0.5000 0.5000 0.0000
Ir 0.0000 0.0000 0.5000
Ir 0.0000 0.5000 0.0000
Ir 0.5000 0.0000 0.0000
Ir 0.5000 0.5000 0.5000

(11)
Material: Pr8Ag2Ir
Method: DFT, PBE
State: relaxed

Summary:
Crystal system = monoclinic
M_tot = 0.000 μB per atom
Raw total energy = -54.4 eV per cell
Polymorph energy (0 for the lowest one) = 0.0410 eV per atom

abc: 9.1365 9.1365 6.4210
angles: 103.51 103.51 128.94
Fractional positions:
Pr 0.0000 0.0000 0.0000
Pr 0.1191 0.8869 0.4751
Pr 0.3422 0.5763 0.1123
Pr 0.4499 0.4499 0.6224
Pr 0.5397 0.9271 0.7806
Pr 0.5763 0.3422 0.1123
Pr 0.8869 0.1191 0.4751
Pr 0.9271 0.5397 0.7806
Ag 0.0123 0.4483 0.2878
Ag 0.4483 0.0123 0.2878
Ir 0.7275 0.7275 0.4838

(12)
Material: Pr3AgIr
Method: DFT, PBE
State: relaxed

Summary:
Crystal system = triclinic
M_tot = 0.000 μB per atom
Raw total energy = -55.0 eV per cell
Polymorph energy (0 for the lowest one) = 0.1168 eV per atom

abc: 4.1740 6.7482 11.0348
angles: 87.36 79.16 72.18
Fractional positions:
Pr 0.0466 0.1218 0.2859
Pr 0.3225 0.2933 0.5594
Pr 0.3644 0.7733 0.9938
Pr 0.6356 0.2267 0.0062
Pr 0.6775 0.7067 0.4406
Pr 0.9534 0.8782 0.7141
Ag 0.3534 0.5397 0.2523
Ag 0.6466 0.4603 0.7477
Ir 0.2710 0.1346 0.8258
Ir 0.7290 0.8654 0.1742

(13)
Material: Pr5Ag2Ir2
Method: DFT, PBE
State: relaxed

Summary:
Crystal system = orthorhombic
M_tot = 0.000 μB per atom
Raw total energy = -102.3 eV per cell

abc: 8.8390 8.8390 8.0030
angles: 90.00 90.00 52.75
Fractional positions:
Pr 0.0000 0.0000 0.0000
Pr 0.0463 0.7070 0.6707
Pr 0.2070 0.5463 0.1707
Pr 0.2930 0.9537 0.6707
Pr 0.4537 0.7930 0.1707
Pr 0.5000 0.5000 0.5000
Pr 0.5463 0.2070 0.8293
Pr 0.7070 0.0463 0.3293
Pr 0.7930 0.4537 0.8293
Pr 0.9537 0.2930 0.3293
Ag 0.2106 0.2106 0.0000
Ag 0.2894 0.2894 0.5000
Ag 0.7106 0.7106 0.5000
Ag 0.7894 0.7894 0.0000
Ir 0.1312 0.8688 0.3699
Ir 0.3688 0.6312 0.8699
Ir 0.6312 0.3688 0.1301
Ir 0.8688 0.1312 0.6301

(14)
Material: Pr2AgIr
Method: DFT, PBE
State: relaxed

Summary:
Crystal system = tetragonal
M_tot = 0.000 μB per atom
Raw total energy = -22.9 eV per cell
Polymorph energy (0 for the lowest one) = 0.0617 eV per atom

abc: 3.6280 3.6280 7.6115
angles: 90.00 90.00 90.00
Fractional positions:
Pr 0.0000 0.0000 0.2249
Pr 0.0000 0.0000 0.7751
Ag 0.5000 0.5000 0.5000
Ir 0.5000 0.5000 0.0000

(15)
Material: Pr2AgIr
Method: DFT, PBE
State: relaxed

Summary:
Crystal system = trigonal
M_tot = 0.000 μB per atom
Raw total energy = -68.6 eV per cell
Polymorph energy (0 for the lowest one) = 0.0827 eV per atom

abc: 4.2342 4.2342 22.2179
angles: 90.00 90.00 120.00
Fractional positions:
Pr 0.0000 0.0000 0.2359
Pr 0.0000 0.0000 0.7641
Pr 0.3333 0.6667 0.4308
Pr 0.3333 0.6667 0.9026
Pr 0.6667 0.3333 0.0974
Pr 0.6667 0.3333 0.5692
Ag 0.0000 0.0000 0.0000
Ag 0.3333 0.6667 0.6667
Ag 0.6667 0.3333 0.3333
Ir 0.0000 0.0000 0.5000
Ir 0.3333 0.6667 0.1667
Ir 0.6667 0.3333 0.8333

(16)
Material: Pr11Ag9Ir4
Method: DFT, PBE
State: relaxed

Summary:
Crystal system = orthorhombic
M_tot = 0.000 μB per atom
Raw total energy = -122.6 eV per cell

abc: 13.1928 13.1928 3.8225
angles: 90.00 90.00 112.54
Fractional positions:
Pr 0.0000 0.0000 0.0000
Pr 0.0812 0.4155 0.0000
Pr 0.1661 0.8339 0.0000
Pr 0.3001 0.3001 0.0000
Pr 0.3683 0.6317 0.0000
Pr 0.4155 0.0812 0.0000
Pr 0.5845 0.9188 0.0000
Pr 0.6317 0.3683 0.0000
Pr 0.6999 0.6999 0.0000
Pr 0.8339 0.1661 0.0000
Pr 0.9188 0.5845 0.0000
Ag 0.0664 0.2111 0.5000
Ag 0.1573 0.6340 0.5000
Ag 0.2111 0.0664 0.5000
Ag 0.3660 0.8427 0.5000
Ag 0.5000 0.5000 0.5000
Ag 0.6340 0.1573 0.5000
Ag 0.7889 0.9336 0.5000
Ag 0.8427 0.3660 0.5000
Ag 0.9336 0.7889 0.5000
Ir 0.2541 0.4502 0.5000
Ir 0.4502 0.2541 0.5000
Ir 0.5498 0.7459 0.5000
Ir 0.7459 0.5498 0.5000

(17)
Material: PrAgIr
Method: DFT, PBE
State: relaxed

Summary:
Crystal system = monoclinic
M_tot = 0.000 μB per atom
Raw total energy = -67.3 eV per cell

abc: 10.1042 5.6655 5.1377
angles: 90.00 118.88 90.00
Fractional positions:
Pr 0.1248 0.0000 0.3761
Pr 0.3752 0.5000 0.6239
Pr 0.6248 0.5000 0.3761
Pr 0.8752 0.0000 0.6239
Ag 0.2500 0.2500 0.0000
Ag 0.2500 0.7500 0.0000
Ag 0.7500 0.2500 0.0000
Ag 0.7500 0.7500 0.0000
Ir 0.0475 0.5000 0.2949
Ir 0.4525 0.0000 0.7051
Ir 0.5475 0.0000 0.2949
Ir 0.9525 0.5000 0.7051

(18)
Material: Pr6Ag5Ir
Method: DFT, PBE
State: relaxed

Summary:
Crystal system = orthorhombic
M_tot = 0.000 μB per atom
Raw total energy = -55.6 eV per cell

abc: 8.3567 8.3567 7.5399
angles: 90.00 90.00 143.21
Fractional positions:
Pr 0.0000 0.0000 0.2324
Pr 0.0000 0.0000 0.7676
Pr 0.3436 0.6564 0.2416
Pr 0.3436 0.6564 0.7584
Pr 0.6564 0.3436 0.2416
Pr 0.6564 0.3436 0.7584
Ag 0.1675 0.8325 0.5000
Ag 0.1808 0.8192 0.0000
Ag 0.5000 0.5000 0.5000
Ag 0.8192 0.1808 0.0000
Ag 0.8325 0.1675 0.5000
Ir 0.5000 0.5000 0.0000

(19)
Material: Pr6Ag2Ir
Method: DFT, PBE
State: relaxed

Summary:
Crystal system = orthorhombic
M_tot = 0.000 μB per atom
Raw total energy = -90.4 eV per cell
Polymorph energy (0 for the lowest one) = 0.0089 eV per atom

abc: 8.8258 8.8258 8.8258
angles: 111.62 109.08 107.73
Fractional positions:
Pr 0.0854 0.2502 0.8352
Pr 0.1815 0.2660 0.4476
Pr 0.1815 0.7340 0.9155
Pr 0.2766 0.6116 0.3350
Pr 0.2766 0.9416 0.6650
Pr 0.4149 0.2502 0.1648
Pr 0.5851 0.7498 0.8352
Pr 0.7234 0.0584 0.3350
Pr 0.7234 0.3884 0.6650
Pr 0.8185 0.2660 0.0845
Pr 0.8185 0.7340 0.5524
Pr 0.9146 0.7498 0.1648
Ag 0.3559 0.0000 0.3559
Ag 0.5000 0.3635 0.8635
Ag 0.5000 0.6365 0.1365
Ag 0.6441 0.0000 0.6441
Ir 0.0000 0.0000 0.0000
Ir 0.0000 0.5000 0.5000

(20)
Material: Pr4AgIr
Method: DFT, PBE
State: relaxed

Summary:
Crystal system = cubic
M_tot = 0.000 μB per atom
Raw total energy = -132.3 eV per cell
Polymorph energy (0 for the lowest one) = 0.0000 eV per atom

abc: 9.9639 9.9639 9.9639
angles: 60.00 60.00 60.00
Fractional positions:
Pr 0.1883 0.1883 0.8117
Pr 0.1883 0.8117 0.1883
Pr 0.1883 0.8117 0.8117
Pr 0.3999 0.3999 0.3999
Pr 0.3999 0.3999 0.8004
Pr 0.3999 0.8004 0.3999
Pr 0.5591 0.5591 0.9409
Pr 0.5591 0.9409 0.5591
Pr 0.5591 0.9409 0.9409
Pr 0.8004 0.3999 0.3999
Pr 0.8117 0.1883 0.1883
Pr 0.8117 0.1883 0.8117
Pr 0.8117 0.8117 0.1883
Pr 0.9409 0.5591 0.5591
Pr 0.9409 0.5591 0.9409
Pr 0.9409 0.9409 0.5591
Ag 0.1693 0.1693 0.1693
Ag 0.1693 0.1693 0.4920
Ag 0.1693 0.4920 0.1693
Ag 0.4920 0.1693 0.1693
Ir 0.1756 0.6081 0.6081
Ir 0.6081 0.1756 0.6081
Ir 0.6081 0.6081 0.1756
Ir 0.6081 0.6081 0.6081